VASP calculation (GGA-PBE) on CuAs7 after structural relaxation.

## Properties
Its space group is No. 225. For the formation energy, the calculation gives 0.517 eV/atom. The raw total energy is -4.063 eV/atom. The value obtained for the size of the total moment is 0.0 μB per cell.

```
CuAs7
1.0
4.0540 -4.3552 0.1790
-1.6088 -5.4993 1.6135
-0.1420 -4.3665 -4.0433
As Cu
7 1
Direct
0.5000 0.0000 0.0000
0.0000 0.5000 0.0000
0.5000 0.0000 0.5000
0.5000 0.5000 0.5000
0.5000 0.5000 0.0000
0.0000 0.0000 0.5000
0.0000 0.5000 0.5000
0.0000 0.0000 0.0000
```